(1)
Here is a geometry-optimized CdPtBr2 structure from Alexandria via LeMat-Bulk. Energies are from PBE.

Cell and atoms, written as CIF:
```
data_CdPtBr2
_symmetry_space_group_name_H-M 'C 1 m 1'
_symmetry_Int_Tables_number 8
_cell_length_a 8.143
_cell_length_b 4.258
_cell_length_c 7.032
_cell_angle_alpha 90.00
_cell_angle_beta 92.89
_cell_angle_gamma 90.00
loop_
_symmetry_equiv_pos_as_xyz
'x,y,z'
'x,-y,z'
'x+1/2,y+1/2,z'
'x+1/2,-y+1/2,z'
loop_
_atom_site_label
_atom_site_fract_x
_atom_site_fract_y
_atom_site_fract_z
Cd1 0.000 0.000 0.000
Pt1 0.308 0.000 0.889
Br1 0.195 0.500 0.686
Br2 0.392 0.000 0.237
```

excess energy over the best structure of this formula in the dataset	0.022	eV/atom

---

(2)
Here is a geometry-optimized Cd2PtBr structure from Alexandria via LeMat-Bulk. Energies are from PBE.

Cell and atoms, written as CIF:
```
data_Cd2PtBr
_symmetry_space_group_name_H-M 'R 3 m'
_symmetry_Int_Tables_number 160
_symmetry_space_group_name_Hall 'R 3 -2"'
_cell_length_a 3.4040
_cell_length_b 3.4040
_cell_length_c 26.0738
_cell_angle_alpha 90.00
_cell_angle_beta 90.00
_cell_angle_gamma 120.00
loop_
_atom_site_label
_atom_site_fract_x
_atom_site_fract_y
_atom_site_fract_z
Cd1 0.0000 0.0000 0.0000
Cd2 0.0000 0.0000 0.2424
Pt1 0.0000 0.0000 0.7406
Br1 0.0000 0.0000 0.4935
```

excess energy over the best structure of this formula in the dataset	0.377	eV/atom

---

(3)
Here is a geometry-optimized CdPt2Br structure from Alexandria via LeMat-Bulk. Energies are from PBE.

Cell and atoms, written as CIF:
```
data_CdPt2Br
_symmetry_space_group_name_H-M 'C 1 m 1'
_symmetry_Int_Tables_number 8
_cell_length_a 14.735
_cell_length_b 2.974
_cell_length_c 4.125
_cell_angle_alpha 90.00
_cell_angle_beta 90.07
_cell_angle_gamma 90.00
loop_
_symmetry_equiv_pos_as_xyz
'x,y,z'
'x,-y,z'
'x+1/2,y+1/2,z'
'x+1/2,-y+1/2,z'
loop_
_atom_site_label
_atom_site_fract_x
_atom_site_fract_y
_atom_site_fract_z
Cd1 0.000 0.000 0.000
Pt1 0.091 0.500 0.499
Pt2 0.412 0.000 0.500
Br1 0.244 0.000 0.539
```

excess energy over the best structure of this formula in the dataset	0.000	eV/atom

---

(4)
Here is a geometry-optimized CdPtBr2 structure from Alexandria via LeMat-Bulk. Energies are from PBE.

Cell and atoms, written as CIF:
```
data_CdPtBr2
_symmetry_space_group_name_H-M 'R 3 m'
_symmetry_Int_Tables_number 160
_symmetry_space_group_name_Hall 'R 3 -2"'
_cell_length_a 4.1692
_cell_length_b 4.1692
_cell_length_c 22.3497
_cell_angle_alpha 90.00
_cell_angle_beta 90.00
_cell_angle_gamma 120.00
loop_
_atom_site_label
_atom_site_fract_x
_atom_site_fract_y
_atom_site_fract_z
Cd1 0.0000 0.0000 0.0000
Pt1 0.0000 0.0000 0.7389
Br1 0.0000 0.0000 0.2644
Br2 0.0000 0.0000 0.4434
```

excess energy over the best structure of this formula in the dataset	0.058	eV/atom

---

(5)
Here is a geometry-optimized CdPtBr4 structure from Alexandria via LeMat-Bulk. Energies are from PBE.

Cell and atoms, written as CIF:
```
data_CdPtBr4
_symmetry_space_group_name_H-M 'F -4 3 m'
_symmetry_Int_Tables_number 216
_symmetry_space_group_name_Hall 'F -4 2 3'
_cell_length_a 8.635
_cell_length_b 8.635
_cell_length_c 8.635
_cell_angle_alpha 90.00
_cell_angle_beta 90.00
_cell_angle_gamma 90.00
loop_
_atom_site_label
_atom_site_fract_x
_atom_site_fract_y
_atom_site_fract_z
Cd1 0.000 0.000 0.000
Pt1 0.250 0.250 0.750
Br1 0.125 0.125 0.375
```

uncorrected energy	-1.32	eV per atom

---

(6)
Here is a geometry-optimized CdPt2Br structure from Alexandria via LeMat-Bulk. Energies are from PBE.

Cell and atoms, written as CIF:
```
data_CdPt2Br
_symmetry_space_group_name_H-M 'F m -3 m'
_symmetry_Int_Tables_number 225
_symmetry_space_group_name_Hall '-F 4 2 3'
_cell_length_a 6.665
_cell_length_b 6.665
_cell_length_c 6.665
_cell_angle_alpha 90.00
_cell_angle_beta 90.00
_cell_angle_gamma 90.00
loop_
_atom_site_label
_atom_site_fract_x
_atom_site_fract_y
_atom_site_fract_z
Cd1 0.000 0.000 0.000
Pt1 0.250 0.250 0.250
Br1 0.000 0.000 0.500
```

excess energy over the best structure of this formula in the dataset	0.378	eV/atom

---

(7)
Here is a geometry-optimized CdPtBr6 structure from Alexandria via LeMat-Bulk. Energies are from PBE.

Cell and atoms, written as CIF:
```
data_CdPtBr6
_symmetry_space_group_name_H-M 'R -3'
_symmetry_Int_Tables_number 148
_symmetry_space_group_name_Hall '-R 3'
_cell_length_a 6.6332
_cell_length_b 6.6332
_cell_length_c 18.0502
_cell_angle_alpha 90.00
_cell_angle_beta 90.00
_cell_angle_gamma 120.00
loop_
_atom_site_label
_atom_site_fract_x
_atom_site_fract_y
_atom_site_fract_z
Cd1 0.0000 0.0000 0.0000
Pt1 0.0000 0.0000 0.5000
Br1 0.0130 0.6485 0.0871
```

excess energy over the best structure of this formula in the dataset	0.024	eV/atom

---

(8)
Here is a geometry-optimized CdPt2Br structure from Alexandria via LeMat-Bulk. Energies are from PBE.

Cell and atoms, written as CIF:
```
data_CdPt2Br
_symmetry_space_group_name_H-M 'P 4 m m'
_symmetry_Int_Tables_number 99
_cell_length_a 3.348
_cell_length_b 3.348
_cell_length_c 7.106
_cell_angle_alpha 90.00
_cell_angle_beta 90.00
_cell_angle_gamma 90.00
loop_
_symmetry_equiv_pos_as_xyz
'x,y,z'
'-y,x,z'
'-x,-y,z'
'y,-x,z'
'-x,y,z'
'y,x,z'
'x,-y,z'
'-y,-x,z'
loop_
_atom_site_label
_atom_site_fract_x
_atom_site_fract_y
_atom_site_fract_z
Cd1 0.000 0.000 0.000
Pt1 0.000 0.000 0.416
Pt2 0.500 0.500 0.225
Br1 0.500 0.500 0.688
```

excess energy over the best structure of this formula in the dataset	0.132	eV/atom